# 1
DFT (GGA-PBE) results for crystalline Gd2DyBi at its relaxed geometry.

Geometry as CIF:
```
data_Gd2DyBi
_space_group_name_H-M_alt 'P 4/m m m'
_space_group_IT_number 123
_space_group_name_Hall '-P 4 2'
_cell_length_a 4.883
_cell_length_b 4.883
_cell_length_c 4.946
_cell_angle_alpha 90.00
_cell_angle_beta 90.00
_cell_angle_gamma 90.00
loop_
_atom_site_label
_atom_site_fract_x
_atom_site_fract_y
_atom_site_fract_z
Gd1 0.000 0.500 0.000
Dy1 0.000 0.000 0.500
Bi1 0.500 0.500 0.500
```

Summary:
Polymorph energy (0 for the lowest one): 0.0076 eV per atom
Energy relative to the elements: -0.385 eV per atom

# 2
DFT (GGA-PBE) results for crystalline K4CaCe3S8 at its relaxed geometry.

Geometry as CIF:
```
data_K4CaCe3S8
_space_group_name_H-M_alt 'R -3 m'
_space_group_IT_number 166
_space_group_name_Hall '-R 3 2"'
_cell_length_a 8.3745
_cell_length_b 8.3745
_cell_length_c 21.9973
_cell_angle_alpha 90.00
_cell_angle_beta 90.00
_cell_angle_gamma 120.00
loop_
_atom_site_label
_atom_site_fract_x
_atom_site_fract_y
_atom_site_fract_z
K1 0.0000 0.0000 0.0000
K2 0.0000 0.5000 0.0000
Ca1 0.0000 0.0000 0.5000
Ce1 0.0000 0.5000 0.5000
S1 0.0000 0.0000 0.2352
S2 0.0072 0.5036 0.7656
```

Summary:
Formation energy without anion corrections: -173.2 kJ/mol of atoms

# 3
DFT (GGA-PBE) results for crystalline HfCrRePt2 at its relaxed geometry.

Geometry as CIF:
```
data_HfCrRePt2
_space_group_name_H-M_alt 'P 4/m m m'
_space_group_IT_number 123
_space_group_name_Hall '-P 4 2'
_cell_length_a 4.813
_cell_length_b 4.813
_cell_length_c 4.893
_cell_angle_alpha 90.00
_cell_angle_beta 90.00
_cell_angle_gamma 90.00
loop_
_atom_site_label
_atom_site_fract_x
_atom_site_fract_y
_atom_site_fract_z
Hf1 0.000 0.000 0.000
Cr1 0.500 0.500 0.000
Re1 0.000 0.000 0.500
Pt1 0.000 0.500 0.500
```

Summary:
Energy relative to the elements: 1.501 eV per atom

For reference, total magnetization by record: 15.32, 2.01, 0.24 μB/f.u..